[1]
GGA-PBE CaLa2Ce3N6, optimized geometry; space-group type = C2/m; crystal system = monoclinic; uncorrected formation energy = -1.379 eV per atom
1.0
-0.709 -2.790 2.205
-0.986 -4.297 -5.756
8.044 0.644 0.420
Ca N Ce La
1 6 3 2
direct
0.500 0.000 0.000
0.005 0.734 0.011
0.328 0.930 0.657
0.339 0.403 0.678
0.672 0.070 0.343
0.661 0.597 0.322
0.995 0.266 0.989
0.164 0.836 0.328
0.836 0.164 0.672
0.500 0.500 0.000
0.166 0.330 0.331
0.834 0.670 0.669

***

[2]
GGA-PBE CaLaCe2P4, optimized geometry; space-group type = P2/m; energy relative to the elements = -1.422 eV per atom; crystal system = monoclinic
1.0
-1.394 -2.181 -3.261
2.941 -5.974 2.738
-4.776 -3.290 4.243
P Ce Ca La
4 2 1 1
direct
0.500 0.234 0.756
0.000 0.764 0.746
0.500 0.766 0.244
0.000 0.236 0.254
0.000 0.000 0.000
0.500 0.000 0.500
0.000 0.500 0.500
0.500 0.500 0.000